Computed, not measured: an optimized crystal structure of YBeAlZn6 at the GGA-PBE level of DFT.

Unit cell a=7.7194 b=7.7194 c=7.7194 alpha=129.64 beta=112.53 gamma=88.80
Closest atoms and distances in Å follow each position.
Fractional coordinates of all 18 atoms:
Y (0.4494, 0.1994, 0.2500)  9 Zn 2.97-3.15, 2 Be 3.07
Y (0.5506, 0.8006, 0.7500)  9 Zn 2.97-3.15, 2 Be 3.07
Be (0.0000, 0.0000, 0.0000)  6 Zn 2.28-2.39
Be (0.5000, 0.0000, 0.5000)  6 Zn 2.28-2.39
Al (0.0000, 0.0000, 0.5000)  6 Zn 2.58-2.65
Al (0.0000, 0.5000, 0.0000)  6 Zn 2.58-2.65
Zn (0.1289, 0.4219, 0.3083)  1 Be 2.39, 1 Zn 2.62, 1 Al 2.65
Zn (0.1289, 0.8206, 0.7070)  1 Be 2.39, 1 Zn 2.62, 1 Al 2.65
Zn (0.1804, 0.9304, 0.2500)  2 Be 2.28
Zn (0.2467, 0.4967, 0.7500)  8 Zn 2.81-2.88
Zn (0.3864, 0.1794, 0.8083)  1 Be 2.39, 1 Zn 2.62, 1 Al 2.65
Zn (0.3864, 0.5781, 0.2070)  1 Be 2.39, 1 Zn 2.62, 1 Al 2.65
Zn (0.6136, 0.4219, 0.7930)  1 Be 2.39, 1 Zn 2.62, 1 Al 2.65
Zn (0.6136, 0.8206, 0.1917)  1 Be 2.39, 1 Zn 2.62, 1 Al 2.65
Zn (0.7533, 0.5033, 0.2500)  8 Zn 2.81-2.88
Zn (0.8196, 0.0696, 0.7500)  2 Be 2.28
Zn (0.8711, 0.1794, 0.2930)  1 Be 2.39, 1 Zn 2.62, 1 Al 2.65
Zn (0.8711, 0.5781, 0.6917)  1 Be 2.39, 1 Zn 2.62, 1 Al 2.65

E = -0.1730 Ry per atom
Size of the total moment = 0.000 μB per formula unit
Energy of formation = 0.04 eV per atom
Crystal system = orthorhombic
Symmetry = Imma, No. 74

---

Computed, not measured: an optimized crystal structure of Y4MgCu8 at the GGA-PBE level of DFT.

Unit cell a=8.6135 b=8.6135 c=8.6135 alpha=92.37 beta=92.37 gamma=156.54
Closest atoms and distances in Å follow each position.
Fractional coordinates of all 13 atoms:
Y (0.0422, 0.2190, 0.2612)  7 Cu 2.85-3.05, 2 Mg 3.18
Y (0.2190, 0.9578, 0.1767)  7 Cu 2.85-3.05, 2 Mg 3.18
Y (0.7810, 0.0422, 0.8233)  7 Cu 2.85-3.05, 2 Mg 3.18
Y (0.9578, 0.7810, 0.7388)  7 Cu 2.85-3.05, 2 Mg 3.18
Mg (0.5000, 0.5000, 0.0000)  8 Y 3.18, 2 Mg 3.50
Cu (0.1038, 0.4575, 0.5612)  7 Cu 2.58-2.71
Cu (0.1843, 0.7046, 0.8889)  4 Cu 2.59-2.71, 3 Y 2.85
Cu (0.2954, 0.1843, 0.4797)  4 Cu 2.59-2.71, 3 Y 2.85
Cu (0.4575, 0.8962, 0.3537)  7 Cu 2.58-2.71
Cu (0.5425, 0.1038, 0.6463)  7 Cu 2.58-2.71
Cu (0.7046, 0.8157, 0.5203)  4 Cu 2.59-2.71, 3 Y 2.85
Cu (0.8157, 0.2954, 0.1111)  4 Cu 2.59-2.71, 3 Y 2.85
Cu (0.8962, 0.5425, 0.4388)  7 Cu 2.58-2.71

E = -0.3392 Ry per atom
Size of the total moment = 0.000 μB per formula unit
Energy of formation = 0.02 eV per atom
Crystal system = tetragonal
Symmetry = I4/m, No. 87
Energy above the lowest structure with this stoichiometry = 51.6 meV/atom

---

Computed, not measured: an optimized crystal structure of Nb2InSe4 at the GGA-PBE level of DFT.

Unit cell a=6.0714 b=3.5086 c=8.5136 alpha=90.00 beta=102.12 gamma=90.00
Closest atoms and distances in Å follow each position.
Fractional coordinates of all 7 atoms:
Nb (0.0000, 0.0000, 0.0000)  6 Se 2.64
Nb (0.5000, 0.5000, 0.0000)  6 Se 2.63-2.64
In (0.0000, 0.5000, 0.5000)  6 Se 3.13-3.24
Se (0.2267, 0.5000, 0.2025)  3 Nb 2.63-2.64
Se (0.2738, 0.0000, 0.7972)  3 Nb 2.64
Se (0.7262, 0.0000, 0.2028)  3 Nb 2.64
Se (0.7733, 0.5000, 0.7975)  3 Nb 2.63-2.64

E = -0.4372 Ry per atom
Size of the total moment = 0.000 μB per formula unit
Crystal system = monoclinic
Symmetry = P2/m, No. 10
ΔE_f (raw) = -0.6889 eV per atom
Energy above the lowest structure with this stoichiometry = 0.0 meV/atom

---

Computed, not measured: an optimized crystal structure of ZnGePdAu at the GGA-PBE level of DFT.

Unit cell a=4.5133 b=4.5133 c=4.5133 alpha=60.00 beta=60.00 gamma=60.00
Closest atoms and distances in Å follow each position.
Fractional coordinates of all 4 atoms:
Zn (0.0000, 0.0000, 0.0000)  4 Pd 2.76, 4 Au 2.76
Ge (0.5000, 0.5000, 0.5000)  4 Au 2.76, 4 Pd 2.76
Pd (0.2500, 0.2500, 0.2500)  4 Ge 2.76, 4 Zn 2.76
Au (0.7500, 0.7500, 0.7500)  4 Ge 2.76, 4 Zn 2.76

E = -0.2784 Ry per atom
Size of the total moment = 0.000 μB per formula unit
Energy of formation = -0.20 eV per atom
Crystal system = cubic
Symmetry = F-43m, No. 216

---

Computed, not measured: an optimized crystal structure of Ba2SrRe at the GGA-PBE level of DFT.

Unit cell a=3.7955 b=3.7955 c=11.2465 alpha=90.00 beta=90.00 gamma=90.00
Closest atoms and distances in Å follow each position.
Fractional coordinates of all 4 atoms:
Ba (0.0000, 0.0000, 0.0000)  4 Ba 3.80
Ba (0.5000, 0.5000, 0.3368)  4 Re 3.33
Sr (0.5000, 0.5000, 0.6765)  4 Re 3.26
Re (0.0000, 0.0000, 0.5122)  4 Sr 3.26, 4 Ba 3.33

E = -0.2659 Ry per atom
Size of the total moment = 2.185 μB per formula unit
Energy of formation = 0.88 eV per atom
Crystal system = tetragonal
Symmetry = P4mm, No. 99
Energy above the lowest structure with this stoichiometry = 37.3 meV/atom

---

Computed, not measured: an optimized crystal structure of BeFeAs2 at the GGA-PBE level of DFT.

Unit cell a=3.2365 b=3.1581 c=5.5489 alpha=90.00 beta=100.99 gamma=90.00
Closest atoms and distances in Å follow each position.
Fractional coordinates of all 4 atoms:
Be (0.0000, 0.0000, 0.0000)  4 As 2.40
Fe (0.0000, 0.0000, 0.5000)  8 As 2.58-2.69, 2 Be 2.77
As (0.4446, 0.5000, 0.2518)  2 Be 2.40, 2 Fe 2.58
As (0.5554, 0.5000, 0.7482)  2 Be 2.40, 2 Fe 2.58

E = -0.3749 Ry per atom
Size of the total moment = 1.758 μB per formula unit
Energy of formation = 0.27 eV per atom
Crystal system = monoclinic
Symmetry = P2/m, No. 10
Energy above the lowest structure with this stoichiometry = 283.0 meV/atom

---

Computed, not measured: an optimized crystal structure of NiMoH2 at the GGA-PBE level of DFT.

Unit cell a=2.8167 b=4.6052 c=4.7935 alpha=90.00 beta=90.00 gamma=90.00
Closest atoms and distances in Å follow each position.
Fractional coordinates of all 8 atoms:
Ni (0.2500, 0.2500, 0.0758)  6 H 1.93-1.96
Ni (0.7500, 0.7500, 0.9242)  6 H 1.93-1.96
Mo (0.2500, 0.7500, 0.4122)  6 H 2.00-2.02
Mo (0.7500, 0.2500, 0.5878)  6 H 2.00-2.02
H (0.2500, 0.5091, 0.7604)  3 Ni 1.93-1.96, 3 Mo 2.00-2.02
H (0.2500, 0.9909, 0.7604)  3 Ni 1.93-1.96, 3 Mo 2.00-2.02
H (0.7500, 0.0091, 0.2396)  3 Ni 1.93-1.96, 3 Mo 2.00-2.02
H (0.7500, 0.4909, 0.2396)  3 Ni 1.93-1.96, 3 Mo 2.00-2.02

E = -0.4288 Ry per atom
Size of the total moment = 0.000 μB per formula unit
Crystal system = orthorhombic
Symmetry = Pmmn, No. 59
Energy above the lowest structure with this stoichiometry = 0.0 meV/atom

---

Computed, not measured: an optimized crystal structure of FeSbSe at the GGA-PBE level of DFT.

Unit cell a=3.4700 b=3.4700 c=5.9699 alpha=90.00 beta=90.00 gamma=120.00
Closest atoms and distances in Å follow each position.
Fractional coordinates of all 3 atoms:
Fe (0.0000, 0.0000, 0.0000)  3 Se 2.39, 3 Sb 2.67
Sb (0.6667, 0.3333, 0.2957)  3 Fe 2.67
Se (0.3333, 0.6667, 0.7827)  3 Fe 2.39

E = -0.3965 Ry per atom
Size of the total moment = 1.741 μB per formula unit
Crystal system = trigonal
Symmetry = P3m1, No. 156
ΔE_f (raw) = -0.0376 eV per atom

---

Repeat the third record exactly.
Computed, not measured: an optimized crystal structure of Nb2InSe4 at the GGA-PBE level of DFT.

Unit cell a=6.0714 b=3.5086 c=8.5136 alpha=90.00 beta=102.12 gamma=90.00
Closest atoms and distances in Å follow each position.
Fractional coordinates of all 7 atoms:
Nb (0.0000, 0.0000, 0.0000)  6 Se 2.64
Nb (0.5000, 0.5000, 0.0000)  6 Se 2.63-2.64
In (0.0000, 0.5000, 0.5000)  6 Se 3.13-3.24
Se (0.2267, 0.5000, 0.2025)  3 Nb 2.63-2.64
Se (0.2738, 0.0000, 0.7972)  3 Nb 2.64
Se (0.7262, 0.0000, 0.2028)  3 Nb 2.64
Se (0.7733, 0.5000, 0.7975)  3 Nb 2.63-2.64

E = -0.4372 Ry per atom
Size of the total moment = 0.000 μB per formula unit
Crystal system = monoclinic
Symmetry = P2/m, No. 10
ΔE_f (raw) = -0.6889 eV per atom
Energy above the lowest structure with this stoichiometry = 0.0 meV/atom